Y2WBr | meta-GGA SCAN | single point on PBEsol structure

Results
* total magnetization: 0.20 μB per formula unit
* total DFT energy (no corrections): -143.0 eV per formula unit
* uncorrected formation energy: 446 meV per atom
* polymorph energy (0 for the lowest one): 0.584 eV/atom

abc: 3.152 3.152 10.152
angles: 90.00 90.00 90.00
Fractional coordinates of all 4 atoms:
Y  0.000  0.000  0.000
Y  0.500  0.500  0.304
W  0.500  0.500  0.798
Br  0.000  0.000  0.484